[1]
# CoAsOsAu

CoAsOsAu after structural relaxation (PBE, OQMD via LeMat-Bulk).

```
CoAsOsAu
1.0
4.367 -0.196 0.192
2.214 2.873 2.447
1.971 -1.319 3.677
As Co Au Os
1 1 1 1
direct
0.000 0.000 0.000 As
0.750 0.750 0.750 Co
0.500 0.500 0.500 Au
0.250 0.250 0.250 Os
```

Computed properties:
* space group: F-43m (216)


[2]
# CoAsPdAu

CoAsPdAu after structural relaxation (PBE, OQMD via LeMat-Bulk).

```
CoAsPdAu
1.0
-3.636 -2.245 -1.171
-3.104 -0.923 3.024
-3.921 2.057 -0.151
Co As Pd Au
1 1 1 1
direct
0.750 0.750 0.750 Co
0.000 0.000 0.000 As
0.250 0.250 0.250 Pd
0.500 0.500 0.500 Au
```

Computed properties:
* space group: F-43m (216)


[3]
# CoReAsAu

CoReAsAu after structural relaxation (PBE, OQMD via LeMat-Bulk).

```
CoReAsAu
1.0
0.000 3.087 3.087
3.087 0.000 3.087
3.087 3.087 0.000
As Re Au Co
1 1 1 1
direct
0.000 0.000 0.000 As
0.250 0.250 0.250 Re
0.500 0.500 0.500 Au
0.750 0.750 0.750 Co
```

Computed properties:
* space group: F-43m (216)


no.,E above lowest polymorph (meV per atom),E (eV/cell)
1,0.0,-24.21
2,0.0,-19.80
3,0.0,-25.46